# 1
Below is an optimized crystal structure of ZnSb2TeW, with properties calculated at the PBE level.

It has space group P4/mmm (No. 123), with a = 5.0608 Å, b = 5.0608 Å, c = 5.2509 Å, α = 90.00°, β = 90.00° and γ = 90.00°. The distinct sites, in fractional coordinates, are Zn at (0.0000, 0.0000, 0.0000), Sb at (0.0000, 0.5000, 0.0000), Te at (0.0000, 0.0000, 0.5000) and W at (0.5000, 0.5000, 0.5000).

The calculation puts the energy relative to the lowest polymorph listed for this composition at 3.71 eV/f.u.


# 2
Below is an optimized crystal structure of ZrBeCrPt2, with properties calculated at the PBE level.

It has space group P4/mmm (No. 123), with a = 4.2351 Å, b = 4.2351 Å, c = 4.2483 Å, α = 90.00°, β = 90.00° and γ = 90.00°. The distinct sites, in fractional coordinates, are Zr at (0.0000, 0.0000, 0.0000), Be at (0.5000, 0.5000, 0.5000), Cr at (0.5000, 0.5000, 0.0000) and Pt at (0.0000, 0.5000, 0.5000).

For the formation energy, the calculation gives -1.42 eV/f.u.


Magnetization for the records above, in order: 3.1; 1.9 μB per formula unit